1.
Na2Nb3S6 | GGA-PBE | optimized geometry

Cell lengths 5.8994, 5.8994, 43.5126 Å; angles 90.00, 90.00, 120.00 degrees
Space group R32 (No. 155, hexagonal axes)
Inequivalent atoms, fractional coordinates:
Na 0.0000 0.0000 0.0831
Na 0.0000 0.0000 0.4164
Nb 0.0000 0.0000 0.1668
Nb 0.0000 0.0000 0.5000
Nb 0.0004 0.3333 0.3333
S 0.9998 0.6674 0.2023
S 0.9999 0.6673 0.2978

## Properties
For the formation energy (no corrections), the calculation gives -1224.3 meV/atom. Its total magnetization is 0.000 μB/atom. Its total energy is -6.462 eV per atom. The value obtained for the volume is 1311 Å³ per cell.

---

2.
AsIrAu2 | GGA-PBE | optimized geometry

Cell lengths 2.9471, 2.9471, 27.6228 Å; angles 90.00, 90.00, 120.00 degrees
Space group R-3m (No. 166, hexagonal axes)
Inequivalent atoms, fractional coordinates:
As 0.0000 0.0000 0.0000
Ir 0.0000 0.0000 0.5000
Au 0.0000 0.0000 0.2493

## Properties
Its total magnetization is 0.197 μB/atom. Its total energy is -4.614 eV per atom. The value obtained for the volume is 208 Å³ per cell.

---

3.
Ba6Tl2Ag | GGA-PBE | optimized geometry

Cell lengths 10.460, 12.137, 13.484 Å; angles 90.00, 90.00, 90.00 degrees
Space group Immm (No. 71)
Inequivalent atoms, fractional coordinates:
Ba 0.000 0.214 0.226
Ba 0.215 0.325 0.500
Ba 0.220 0.500 0.157
Tl 0.000 0.355 0.000
Tl 0.000 0.500 0.363
Ag 0.000 0.000 0.000
Ag 0.000 0.000 0.500

## Properties
Its total magnetization is 0.000 μB/atom. Its total energy is -2.315 eV per atom. The excess energy over the best structure of this formula in the dataset comes out at 0.19 eV per formula unit. The value obtained for the volume is 1712 Å³ per cell.

---

4.
DyEr3Pd12 | GGA-PBE | optimized geometry

Cell lengths 4.101, 4.101, 16.495 Å; angles 90.00, 90.00, 90.00 degrees
Space group P4/mmm (No. 123)
Inequivalent atoms, fractional coordinates:
Dy 0.000 0.000 0.000
Er 0.000 0.000 0.251
Er 0.000 0.000 0.500
Pd 0.000 0.500 0.126
Pd 0.000 0.500 0.375
Pd 0.500 0.500 0.000
Pd 0.500 0.500 0.251
Pd 0.500 0.500 0.500

## Properties
Its total magnetization is 0.000 μB/atom. Its total energy is -5.932 eV per atom. The value obtained for the volume is 277 Å³ per cell.

---

5.
Tb3Pm2Zn2 | GGA-PBE | optimized geometry

Cell lengths 11.561, 4.736, 8.163 Å; angles 90.00, 116.86, 90.00 degrees
Space group C2/m (No. 12)
Inequivalent atoms, fractional coordinates:
Tb 0.000 0.000 0.000
Tb 0.134 0.000 0.465
Pm 0.137 0.500 0.794
Zn 0.144 0.500 0.190

## Properties
Its total magnetization is 0.000 μB/atom. Its total energy is -3.791 eV per atom. The excess energy over the best structure of this formula in the dataset comes out at 0.30 eV per formula unit. The value obtained for the volume is 399 Å³ per cell.

---

6.
GaAgPb2C | GGA-PBE | optimized geometry

Cell lengths 8.180, 8.180, 3.967 Å; angles 90.00, 90.00, 90.00 degrees
Space group P4/mmm (No. 123)
Inequivalent atoms, fractional coordinates:
Ga 0.000 0.000 0.000
Ag 0.500 0.500 0.500
Pb 0.000 0.500 0.500
C 0.500 0.500 0.000

## Properties
Its total magnetization is 0.000 μB/atom. Its total energy is -2.639 eV per atom. The value obtained for the volume is 265 Å³ per cell.

---

7.
BaSb5 | GGA-PBE | optimized geometry

Cell lengths 12.489, 4.173, 7.582 Å; angles 90.00, 102.99, 90.00 degrees
Space group Cm (No. 8)
Inequivalent atoms, fractional coordinates:
Ba 0.000 0.000 0.000
Sb 0.119 0.500 0.413
Sb 0.213 0.500 0.918
Sb 0.275 0.000 0.667
Sb 0.318 0.000 0.210
Sb 0.456 0.500 0.481

## Properties
For the formation energy (no corrections), the calculation gives -230.3 meV/atom. Its total magnetization is 0.000 μB/atom. Its total energy is -3.986 eV per atom. The excess energy over the best structure of this formula in the dataset comes out at 0.44 eV per formula unit. The value obtained for the volume is 385 Å³ per cell.

---

8.
Hf6FeSn2 | GGA-PBE | optimized geometry

Cell lengths 5.930, 5.930, 13.401 Å; angles 90.00, 90.00, 90.00 degrees
Space group P4_2/mnm (No. 136)
Inequivalent atoms, fractional coordinates:
Hf 0.185 0.185 0.126
Hf 0.197 0.197 0.500
Fe 0.000 0.000 0.000
Sn 0.000 0.000 0.310

## Properties
Its total magnetization is 0.000 μB/atom. Its total energy is -8.099 eV per atom. The value obtained for the volume is 471 Å³ per cell.

---

9.
Sr2LaGeIr | GGA-PBE | optimized geometry

Cell lengths 5.983, 5.983, 4.678 Å; angles 90.00, 90.00, 90.00 degrees
Space group P4/mmm (No. 123)
Inequivalent atoms, fractional coordinates:
Sr 0.000 0.500 0.000
La 0.000 0.000 0.500
Ge 0.500 0.500 0.000
Ir 0.500 0.500 0.500

## Properties
Its total magnetization is 0.000 μB/atom. Its total energy is -4.239 eV per atom. The value obtained for the volume is 167 Å³ per cell.

---

10.
LaAgIr2 | GGA-PBE | optimized geometry

Cell lengths 2.9307, 2.9307, 30.2404 Å; angles 90.00, 90.00, 120.00 degrees
Space group R3m (No. 160, hexagonal axes)
Inequivalent atoms, fractional coordinates:
La 0.0000 0.0000 0.0000
Ag 0.0000 0.0000 0.2352
Ir 0.0000 0.0000 0.4910
Ir 0.0000 0.0000 0.7556

## Properties
Its total magnetization is 0.136 μB/atom. Its total energy is -5.941 eV per atom. The excess energy over the best structure of this formula in the dataset comes out at 2.08 eV per formula unit. The value obtained for the volume is 225 Å³ per cell.

---

11.
LiReRh2Br | GGA-PBE | optimized geometry

Cell lengths 4.206, 4.206, 4.287 Å; angles 90.00, 90.00, 90.00 degrees
Space group P4/mmm (No. 123)
Inequivalent atoms, fractional coordinates:
Li 0.000 0.000 0.000
Re 0.500 0.500 0.500
Rh 0.000 0.500 0.000
Br 0.000 0.000 0.500

## Properties
For the formation energy (no corrections), the calculation gives 1375.5 meV/atom. Its total magnetization is 0.002 μB/atom. Its total energy is -4.772 eV per atom. The value obtained for the volume is 76 Å³ per cell.

---

12.
KZrAsSe2 | GGA-PBE | optimized geometry

Cell lengths 5.318, 5.318, 5.104 Å; angles 90.00, 90.00, 90.00 degrees
Space group P4/mmm (No. 123)
Inequivalent atoms, fractional coordinates:
K 0.000 0.000 0.000
Zr 0.500 0.500 0.500
As 0.000 0.000 0.500
Se 0.000 0.500 0.000

## Properties
For the formation energy (no corrections), the calculation gives 1087.7 meV/atom. Its total magnetization is 0.000 μB/atom. Its total energy is -3.165 eV per atom. The excess energy over the best structure of this formula in the dataset comes out at 9.22 eV per formula unit. The value obtained for the volume is 144 Å³ per cell.

---

Which of these has the highest total magnetization?
AsIrAu2

---

The highest total magnetization belongs to which entry?
AsIrAu2

---

total magnetization of number 5 (Tb3Pm2Zn2)?
0.000 μB/atom

---

Number 10 is which compound?
LaAgIr2